(1)
Compound: BeV2PbI
Source: Alexandria via LeMat-Bulk
Functional: PBE
Structure: optimized geometry

a = 4.716 Å, b = 4.765 Å, c = 4.716 Å
α = 90.00°, β = 90.00°, γ = 90.00°
Site moments in Bohr magnetons follow the coordinates.
Element x y z (fractional)
Pb: 0.500 0.500 0.500  -0.05
I: 0.000 0.500 0.000  0.03
Be: 0.000 0.000 0.000  -0.03
V: 0.000 0.000 0.500  2.15
V: 0.500 0.000 0.000  2.21

Results
**Uncorrected formation energy**: 1.119 eV/atom

(2)
Compound: TeWS2
Source: Alexandria via LeMat-Bulk
Functional: PBE
Structure: optimized geometry

a = 9.160 Å, b = 9.160 Å, c = 9.160 Å
α = 20.36°, β = 20.36°, γ = 20.36°
Element x y z (fractional)
S: 0.917 0.917 0.917
S: 0.083 0.083 0.083
Te: 0.500 0.500 0.500
W: 0.000 0.000 0.000

Results
**Uncorrected formation energy**: 0.689 eV/atom

(3)
Compound: K2AlGaF6
Source: Alexandria via LeMat-Bulk
Functional: PBE
Structure: optimized geometry

a = 6.173 Å, b = 6.168 Å, c = 6.022 Å
α = 59.03°, β = 59.11°, γ = 59.90°
Element x y z (fractional)
K: 0.562 0.563 0.314
K: 0.070 0.070 0.789
Al: 0.316 0.316 0.052
Ga: 0.816 0.816 0.552
F: 0.514 0.172 0.271
F: 0.169 0.044 0.274
F: 0.044 0.519 0.267
F: 0.463 0.588 0.829
F: 0.589 0.113 0.836
F: 0.118 0.460 0.832

Results
**Uncorrected formation energy**: -2.905 eV/atom

(4)
Compound: Dy4TlHg2Rh
Source: Alexandria via LeMat-Bulk
Functional: PBE
Structure: optimized geometry

a = 5.207 Å, b = 5.207 Å, c = 8.909 Å
α = 73.01°, β = 73.01°, γ = 60.00°
Element x y z (fractional)
Dy: 0.386 0.386 0.842
Dy: 0.868 0.868 0.397
Dy: 0.132 0.132 0.603
Dy: 0.614 0.614 0.158
Tl: 0.000 0.000 0.000
Hg: 0.743 0.743 0.772
Hg: 0.257 0.257 0.228
Rh: 0.500 0.500 0.500

Results
**ΔE_f**: -534 meV/atom

(5)
Compound: SrLiF
Source: Alexandria via LeMat-Bulk
Functional: PBE
Structure: optimized geometry

a = 4.125 Å, b = 4.125 Å, c = 6.387 Å
α = 90.00°, β = 90.00°, γ = 120.00°
Element x y z (fractional)
Sr: 0.667 0.333 0.478
Li: 0.000 0.000 0.000
F: 0.333 0.667 0.522

Results
**Uncorrected formation energy**: -1.682 eV/atom
**Polymorph energy (0 for the lowest one)**: 0.103 eV/atom

(6)
Compound: Pr2Pt15Rh2
Source: Alexandria via LeMat-Bulk
Functional: PBE
Structure: optimized geometry

a = 6.986 Å, b = 6.986 Å, c = 6.986 Å
α = 83.12°, β = 83.12°, γ = 83.12°
Element x y z (fractional)
Pr: 0.335 0.335 0.335
Pr: 0.665 0.665 0.665
Pt: 0.500 0.000 0.000
Pt: 0.000 0.000 0.500
Pt: 0.000 0.500 0.000
Pt: 0.000 0.696 0.304
Pt: 0.696 0.304 0.000
Pt: 0.304 0.000 0.696
Pt: 0.304 0.696 0.000
Pt: 0.696 0.000 0.304
Pt: 0.000 0.304 0.696
Pt: 0.157 0.652 0.652
Pt: 0.652 0.652 0.157
Pt: 0.652 0.157 0.652
Pt: 0.843 0.348 0.348
Pt: 0.348 0.348 0.843
Pt: 0.348 0.843 0.348
Rh: 0.100 0.100 0.100
Rh: 0.900 0.900 0.900

Results
**ΔE_f**: -382 meV/atom

(7)
Compound: TcGeBi2Pd
Source: Alexandria via LeMat-Bulk
Functional: PBE
Structure: optimized geometry

a = 5.252 Å, b = 5.169 Å, c = 5.252 Å
α = 90.00°, β = 90.00°, γ = 90.00°
Site moments in Bohr magnetons follow the coordinates.
Element x y z (fractional)
Ge: 0.500 0.500 0.500  -0.13
Bi: 0.000 0.000 0.500  -0.06
Bi: 0.500 0.000 0.000  -0.06
Pd: 0.000 0.000 0.000  0.13
Tc: 0.000 0.500 0.000  3.14

Results
**ΔE_f**: 1017 meV/atom
**Polymorph energy (0 for the lowest one)**: 0.183 eV/atom

(8)
Compound: TaTiHg2N
Source: Alexandria via LeMat-Bulk
Functional: PBE
Structure: optimized geometry

a = 5.448 Å, b = 3.870 Å, c = 5.448 Å
α = 90.00°, β = 90.00°, γ = 90.00°
Element x y z (fractional)
N: 0.000 0.500 0.000
Ti: 0.500 0.500 0.500
Hg: 0.000 0.000 0.500
Hg: 0.500 0.000 0.000
Ta: 0.000 0.000 0.000

Results
**Uncorrected formation energy**: 0.705 eV/atom

(9)
Compound: ZrTe6Pd3
Source: Alexandria via LeMat-Bulk
Functional: PBE
Structure: optimized geometry

a = 4.065 Å, b = 11.561 Å, c = 11.300 Å
α = 107.49°, β = 90.00°, γ = 90.00°
Element x y z (fractional)
Zr: 0.750 0.072 0.712
Zr: 0.250 0.928 0.288
Te: 0.750 0.476 0.614
Te: 0.250 0.524 0.386
Te: 0.750 0.929 0.094
Te: 0.250 0.071 0.906
Te: 0.750 0.407 0.075
Te: 0.250 0.593 0.925
Te: 0.750 0.733 0.288
Te: 0.250 0.267 0.712
Te: 0.750 0.095 0.449
Te: 0.250 0.905 0.551
Te: 0.750 0.817 0.750
Te: 0.250 0.183 0.250
Pd: 0.750 0.431 0.842
Pd: 0.250 0.569 0.158
Pd: 0.750 0.658 0.507
Pd: 0.250 0.342 0.493
Pd: 0.750 0.170 0.082
Pd: 0.250 0.830 0.918

Results
**Uncorrected formation energy**: -0.383 eV/atom

(10)
Compound: ThTlBi
Source: Alexandria via LeMat-Bulk
Functional: PBE
Structure: optimized geometry

a = 4.075 Å, b = 4.075 Å, c = 6.139 Å
α = 109.38°, β = 109.38°, γ = 90.00°
Element x y z (fractional)
Tl: 0.609 0.609 0.219
Bi: 0.953 0.953 0.906
Th: 0.287 0.287 0.575

Results
**ΔE_f**: -183 meV/atom
**Polymorph energy (0 for the lowest one)**: 0.121 eV/atom

(11)
Compound: Cd2CoOs
Source: Alexandria via LeMat-Bulk
Functional: PBE
Structure: optimized geometry

a = 5.088 Å, b = 5.088 Å, c = 5.088 Å
α = 134.66°, β = 134.66°, γ = 66.06°
Site moments in Bohr magnetons follow the coordinates.
Element x y z (fractional)
Cd: 0.000 0.000 0.000  -0.01
Cd: 0.500 0.500 0.000  -0.01
Co: 0.250 0.750 0.500  1.67
Os: 0.750 0.250 0.500  1.01

Results
**ΔE_f**: 644 meV/atom
**Polymorph energy (0 for the lowest one)**: 0.370 eV/atom

(12)
Compound: PrEr4As5
Source: Alexandria via LeMat-Bulk
Functional: PBE
Structure: optimized geometry

a = 4.132 Å, b = 7.147 Å, c = 9.235 Å
α = 75.07°, β = 77.07°, γ = 73.20°
Element x y z (fractional)
Pr: 0.000 0.000 0.000
Er: 0.598 0.203 0.601
Er: 0.201 0.394 0.204
Er: 0.799 0.606 0.796
Er: 0.402 0.797 0.399
As: 0.203 0.902 0.692
As: 0.797 0.098 0.308
As: 0.395 0.315 0.896
As: 0.000 0.500 0.500
As: 0.605 0.685 0.104

Results
**ΔE_f**: -1504 meV/atom